Density functional theory data (GGA-PBE) for TbBiAu after structural relaxation.

As for the total energy: -27.09 eV/cell.

The structure belongs to space group I4mm (No. 107); the cell edges are 3.683, 3.683 and 11.620 Å and the angles 90.00°, 90.00° and 90.00°. The asymmetric unit holds Tb at (0.000, 0.000, 0.000), Bi at (0.000, 0.000, 0.297) and Au at (0.000, 0.000, 0.627).